Entry 1:
# PBEsol CrFe2Tc, relaxed
data_CrFe2Tc
_symmetry_space_group_name_H-M 'P m m m'
_symmetry_Int_Tables_number 47
_cell_length_a 2.946
_cell_length_b 3.927
_cell_length_c 4.074
_cell_angle_alpha 90.00
_cell_angle_beta 90.00
_cell_angle_gamma 90.00
loop_
_symmetry_equiv_pos_as_xyz
'x,y,z'
'-x,-y,-z'
'-x,-y,z'
'x,y,-z'
'x,-y,-z'
'-x,y,z'
'-x,y,-z'
'x,-y,z'
loop_
_atom_site_label
_atom_site_type_symbol
_atom_site_fract_x
_atom_site_fract_y
_atom_site_fract_z
_atom_site_occupancy
Cr1 Cr 0.000 0.000 0.000 1
Fe1 Fe 0.000 0.500 0.500 1
Fe2 Fe 0.500 0.000 0.500 1
Tc1 Tc 0.500 0.500 0.000 1
# calculated formation energy = 117 meV per atom
# DOS(E_F) = 1.14 states/eV per atom



Entry 2:
# PBEsol OsRuPt2, relaxed
data_OsRuPt2
_symmetry_space_group_name_H-M 'C 1 m 1'
_symmetry_Int_Tables_number 8
_cell_length_a 9.054
_cell_length_b 2.702
_cell_length_c 4.724
_cell_angle_alpha 90.00
_cell_angle_beta 99.70
_cell_angle_gamma 90.00
loop_
_symmetry_equiv_pos_as_xyz
'x,y,z'
'x,-y,z'
'x+1/2,y+1/2,z'
'x+1/2,-y+1/2,z'
loop_
_atom_site_label
_atom_site_type_symbol
_atom_site_fract_x
_atom_site_fract_y
_atom_site_fract_z
_atom_site_occupancy
Os1 Os 0.000 0.000 0.000 1
Ru1 Ru 0.258 0.000 0.774 1
Pt1 Pt 0.006 0.500 0.513 1
Pt2 Pt 0.251 0.500 0.258 1
# calculated formation energy = 57 meV per atom
# offset from the most stable computed form = 1.56 kcal/mol of atoms
# DOS(E_F) = 0.91 states/eV per atom



Entry 3:
# PBEsol ScMnRuS2, relaxed
data_ScMnRuS2
_symmetry_space_group_name_H-M 'P 4/m m m'
_symmetry_Int_Tables_number 123
_symmetry_space_group_name_Hall '-P 4 2'
_cell_length_a 4.223
_cell_length_b 4.223
_cell_length_c 4.486
_cell_angle_alpha 90.00
_cell_angle_beta 90.00
_cell_angle_gamma 90.00
loop_
_atom_site_label
_atom_site_type_symbol
_atom_site_fract_x
_atom_site_fract_y
_atom_site_fract_z
_atom_site_occupancy
Sc1 Sc 0.000 0.000 0.000 1
Mn1 Mn 0.000 0.000 0.500 1
Ru1 Ru 0.500 0.500 0.000 1
S1 S 0.000 0.500 0.500 1
# formation energy without anion corrections = 0.4602 eV per atom
# DOS(E_F) = 0.90 states/eV per atom